(1)
WBr6 (meta-GGA SCAN, PBEsol geometry); space-group type = R-3, No. 148; DFT total energy = -189.64 eV for the cell shown; formation energy without anion corrections = -0.46 eV per atom
1.0
6.381 0.000 0.000
3.191 5.526 0.000
3.191 1.842 5.735
W Br
1 6
Cartesian
0.000 0.000 0.000 W
8.552 3.800 1.412 Br
5.396 1.746 1.412 Br
5.196 5.507 1.412 Br
4.210 3.569 4.323 Br
7.367 5.622 4.323 Br
7.567 1.862 4.323 Br

=====

(2)
WBr5 (meta-GGA SCAN, PBEsol geometry); space-group type = C2/m, No. 12; DFT total energy = -1018.46 eV for the cell shown; energy relative to the lowest polymorph listed for this composition = 3 meV per atom; formation energy without anion corrections = -0.46 eV per atom
1.0
5.972 0.012 0.011
-0.046 13.313 -0.128
-0.046 0.751 13.293
Br W
30 6
Cartesian
1.388 0.715 0.670 Br
4.493 13.361 12.506 Br
1.458 11.654 3.189 Br
4.422 10.125 1.757 Br
4.422 2.422 9.987 Br
1.458 3.951 11.418 Br
4.564 0.220 2.689 Br
1.317 11.379 13.134 Br
1.317 13.856 10.487 Br
4.564 2.697 0.042 Br
4.373 3.985 3.730 Br
1.508 10.091 9.446 Br
4.469 1.490 6.279 Br
1.411 7.712 12.103 Br
1.411 12.586 6.896 Br
4.469 6.364 1.072 Br
1.577 2.005 4.357 Br
4.304 9.597 11.462 Br
4.304 12.071 8.819 Br
1.577 4.479 1.713 Br
1.587 5.409 5.063 Br
4.293 8.667 8.113 Br
1.463 3.034 7.701 Br
4.417 6.191 10.657 Br
4.417 11.042 5.474 Br
1.463 7.885 2.519 Br
4.369 4.902 7.088 Br
1.512 6.680 8.752 Br
1.512 9.174 6.088 Br
4.369 7.396 4.423 Br
-0.046 11.939 1.339 W
-0.046 2.125 11.825 W
2.978 3.323 5.859 W
2.903 8.011 10.247 W
2.903 10.753 7.317 W
2.978 6.065 2.929 W

=====

(3)
YW2Br (meta-GGA SCAN, PBEsol geometry); space-group type = Imm2, No. 44; DFT total energy = -183.80 eV for the cell shown; energy relative to the lowest polymorph listed for this composition = 0 meV per atom; formation energy without anion corrections = 0.72 eV per atom
1.0
3.413 0.000 0.000
0.000 5.320 0.000
-1.706 -2.660 4.451
Y Br W
1 1 2
Cartesian
1.706 2.660 0.074 Y
0.000 2.660 2.447 Br
0.000 0.000 0.074 W
1.706 0.000 1.856 W

=====

(4)
YWBr2 (meta-GGA SCAN, PBEsol geometry); space-group type = C2/m, No. 12; DFT total energy = -136.66 eV for the cell shown; energy relative to the lowest polymorph listed for this composition = 0 meV per atom; formation energy without anion corrections = -0.05 eV per atom
1.0
3.353 0.000 0.000
0.000 4.786 0.021
-1.677 -0.161 6.662
Y Br W
1 2 1
Cartesian
0.000 2.393 0.010 Y
0.000 1.142 4.533 Br
1.677 3.483 2.150 Br
1.677 0.000 0.000 W

=====

(5)
YWBr2 (meta-GGA SCAN, PBEsol geometry); space-group type = Cm, No. 8; DFT total energy = -135.45 eV for the cell shown; energy relative to the lowest polymorph listed for this composition = 302 meV per atom; formation energy without anion corrections = 0.25 eV per atom
1.0
3.263 0.000 0.000
0.000 5.034 -0.036
-1.632 -1.938 5.082
Y Br W
1 2 1
Cartesian
0.000 2.916 2.450 Y
1.632 2.805 5.001 Br
1.632 0.338 2.852 Br
0.000 0.712 4.854 W

=====

(6)
YWBr2 (meta-GGA SCAN, PBEsol geometry); space-group type = Fm-3m, No. 225; DFT total energy = -134.52 eV for the cell shown; energy relative to the lowest polymorph listed for this composition = 534 meV per atom; formation energy without anion corrections = 0.48 eV per atom
1.0
-1.936 -3.291 2.970
-1.410 -4.291 -1.734
2.480 -3.998 1.127
Y Br W
1 2 1
Cartesian
-0.433 -5.790 1.181 Y
-0.216 -2.895 0.591 Br
-0.649 -8.685 1.772 Br
0.000 0.000 0.000 W

=====

(7)
YW2Br (meta-GGA SCAN, PBEsol geometry); space-group type = P4/mmm, No. 123; DFT total energy = -181.26 eV for the cell shown; energy relative to the lowest polymorph listed for this composition = 635 meV per atom; formation energy without anion corrections = 1.35 eV per atom
1.0
3.662 0.000 0.000
0.000 3.662 0.000
0.000 0.000 5.698
Y Br W
1 1 2
Cartesian
1.831 1.831 0.000 Y
1.831 1.831 2.849 Br
0.000 0.000 4.106 W
0.000 0.000 1.592 W

=====

(8)
YWBr3 (meta-GGA SCAN, PBEsol geometry); space-group type = Pm-3m, No. 221; DFT total energy = -155.68 eV for the cell shown; formation energy without anion corrections = 0.05 eV per atom
1.0
5.473 0.000 0.000
0.000 5.473 0.000
0.000 0.000 5.473
Y Br W
1 3 1
Cartesian
0.000 0.000 0.000 Y
0.000 2.736 0.000 Br
0.000 0.000 2.736 Br
2.736 0.000 0.000 Br
2.736 2.736 2.736 W

=====

(9)
YWBr (meta-GGA SCAN, PBEsol geometry); space-group type = F-43m, No. 216; DFT total energy = -113.58 eV for the cell shown; formation energy without anion corrections = 1.14 eV per atom
1.0
-0.244 -2.840 3.544
1.762 -4.181 -0.311
3.761 -1.062 2.326
Y Br W
1 1 1
Cartesian
2.639 -4.042 2.780 Y
3.959 -6.063 4.169 Br
0.000 0.000 0.000 W

=====

(10)
ZnW2Br (meta-GGA SCAN, PBEsol geometry); space-group type = I-4m2, No. 119; DFT total energy = -167.53 eV for the cell shown; energy relative to the lowest polymorph listed for this composition = 268 meV per atom; formation energy without anion corrections = 1.21 eV per atom
1.0
-0.229 3.919 -1.802
-0.994 -3.656 -2.647
-2.905 1.194 2.967
Br W Zn
1 2 1
Cartesian
-2.733 0.048 0.451 Br
0.000 0.000 0.000 W
-1.395 1.410 -1.933 W
-1.567 2.557 0.582 Zn

=====

(11)
ZnW2Br (meta-GGA SCAN, PBEsol geometry); space-group type = Cmmm, No. 65; DFT total energy = -167.92 eV for the cell shown; energy relative to the lowest polymorph listed for this composition = 169 meV per atom; formation energy without anion corrections = 1.11 eV per atom
1.0
-0.813 -1.730 2.133
1.290 -1.127 -2.296
8.140 1.132 4.019
Br W Zn
1 2 1
Cartesian
0.239 -1.429 -0.081 Br
2.079 0.289 1.026 W
6.061 0.843 2.993 W
4.309 -0.862 1.928 Zn

=====

(12)
ZnW2Br2 (meta-GGA SCAN, PBEsol geometry); space-group type = I4/mmm, No. 139; DFT total energy = -186.69 eV for the cell shown; formation energy without anion corrections = 1.02 eV per atom
1.0
-2.387 -0.088 -2.665
-1.707 -2.698 1.617
-2.852 7.010 4.726
Br W Zn
2 2 1
Cartesian
-3.179 -0.095 0.447 Br
-3.766 4.319 3.231 Br
-3.303 1.460 2.910 W
-3.643 2.765 0.768 W
0.000 0.000 0.000 Zn